! MoPPb2 PBEsol relaxed; values from VASP
&SYSTEM
  ibrav = 0, nat = 4, ntyp = 3
/
ATOMIC_SPECIES
P 30.97 P.upf
Pb 207.20 Pb.upf
Mo 95.94 Mo.upf
CELL_PARAMETERS angstrom
3.1718 0.0000 0.0000
1.5859 2.7469 0.0000
1.5859 0.9156 9.6065
ATOMIC_POSITIONS crystal
P 0.0000 0.0000 0.0000
Pb 0.2464 0.2464 0.2607
Pb 0.7536 0.7536 0.7393
Mo 0.5000 0.5000 0.5000
! E_form   79 kJ/mol of atoms
! Magnetization   0.0 Bohr magnetons per cell

***

! MoPPb2 PBEsol relaxed; values from VASP
&SYSTEM
  ibrav = 0, nat = 4, ntyp = 3
/
ATOMIC_SPECIES
P 30.97 P.upf
Pb 207.20 Pb.upf
Mo 95.94 Mo.upf
CELL_PARAMETERS angstrom
-0.1418 -0.6042 -3.5908
-2.5379 -4.1503 0.7985
-2.4997 4.6797 1.1603
ATOMIC_POSITIONS crystal
P 0.5000 0.0000 0.0000
Pb 0.2370 0.2370 0.4740
Pb 0.7630 0.7630 0.5260
Mo 0.0000 0.5000 0.0000
! E_form   74 kJ/mol of atoms
! Magnetization   0.7 Bohr magnetons per cell

***

! MoP2Pb PBEsol relaxed; values from VASP
&SYSTEM
  ibrav = 0, nat = 4, ntyp = 3
/
ATOMIC_SPECIES
P 30.97 P.upf
Mo 95.94 Mo.upf
Pb 207.20 Pb.upf
CELL_PARAMETERS angstrom
3.2476 0.0000 0.0000
0.0000 4.2588 0.0000
0.0000 0.0000 4.9969
ATOMIC_POSITIONS crystal
P 0.0000 0.0000 0.0000
P 0.0000 0.5000 0.5000
Mo 0.5000 0.0000 0.5000
Pb 0.5000 0.5000 0.0000
! E_form   62 kJ/mol of atoms
! Magnetization   0.0 Bohr magnetons per cell